(1)
Compound: HfGaPdRu
Source: the Alexandria database
Functional: GGA-PBE
Structure: optimized geometry

Cell: 6.349 6.349 6.349 Å, 90.00 90.00 90.00°
Space group F-43m (No. 216)
Asymmetric unit:
Hf1 0.000 0.000 0.000 x4
Ga1 0.000 0.000 0.500 x4
Pd1 0.250 0.250 0.750 x4
Ru1 0.250 0.250 0.250 x4

Computed properties:
Crystal system: cubic
Fermi-level density of states, states/eV/atom: 0.94
Energy of formation from the pure elements, eV/atom: -0.64
Total moment, μB per cell: 0.0
Volume, A^3/atom: 15.99

=====

(2)
Compound: HfGaPdRu
Source: the Alexandria database
Functional: GGA-PBE
Structure: optimized geometry

Cell: 4.263 4.263 7.008 Å, 90.00 90.00 90.00°
Space group I-4m2 (No. 119)
Asymmetric unit:
Hf1 0.000 0.000 0.000 x2
Ga1 0.000 0.000 0.500 x2
Pd1 0.000 0.500 0.750 x2
Ru1 0.000 0.500 0.250 x2

Computed properties:
Crystal system: tetragonal
Fermi-level density of states, states/eV/atom: 0.23
Energy of formation from the pure elements, eV/atom: -0.67
Total moment, μB per cell: 0.0
Volume, A^3/atom: 15.92

=====

(3)
Compound: SmHfGa5Pd2
Source: the Alexandria database
Functional: GGA-PBE
Structure: optimized geometry

Cell: 4.833 4.833 7.578 Å, 90.00 90.00 90.00°
Space group P4/mmm (No. 123)
Asymmetric unit:
Sm1 0.000 0.000 0.000 x1
Hf1 0.000 0.000 0.500 x1
Ga1 0.000 0.500 0.278 x4
Ga2 0.500 0.500 0.000 x1
Pd1 0.500 0.500 0.328 x2

Computed properties:
Crystal system: tetragonal
Fermi-level density of states, states/eV/atom: 0.45
Energy of formation from the pure elements, eV/atom: -0.31
Total moment, μB per cell: 0.0
Volume, A^3/atom: 19.67

=====

(4)
Compound: HfGa2TcPd
Source: the Alexandria database
Functional: GGA-PBE
Structure: optimized geometry

Cell: 5.070 5.070 4.802 Å, 90.00 90.00 90.00°
Space group P4/mmm (No. 123)
Asymmetric unit:
Hf1 0.000 0.000 0.000 x1
Ga1 0.000 0.500 0.000 x2
Tc1 0.500 0.500 0.500 x1
Pd1 0.000 0.000 0.500 x1

Computed properties:
Crystal system: tetragonal
Fermi-level density of states, states/eV/atom: 0.75
Energy of formation from the pure elements, eV/atom: 1.24
Total moment, μB per cell: 3.3
Volume, A^3/atom: 24.68

=====

(5)
Compound: HfGaTcPd
Source: the Alexandria database
Functional: GGA-PBE
Structure: optimized geometry

Cell: 3.399 4.283 4.398 Å, 90.00 90.00 90.00°
Space group Pmmm (No. 47)
Asymmetric unit:
Hf1 0.000 0.000 0.000 x1
Ga1 0.000 0.500 0.500 x1
Tc1 0.500 0.500 0.000 x1
Pd1 0.500 0.000 0.500 x1

Computed properties:
Crystal system: orthorhombic
Fermi-level density of states, states/eV/atom: 0.22
Energy of formation from the pure elements, eV/atom: -0.59
Total moment, μB per cell: 0.0
Volume, A^3/atom: 16.01

=====

(6)
Compound: HfGaTcPd
Source: the Alexandria database
Functional: GGA-PBE
Structure: optimized geometry

Cell: 6.361 6.361 6.361 Å, 90.00 90.00 90.00°
Space group F-43m (No. 216)
Asymmetric unit:
Hf1 0.000 0.000 0.000 x4
Ga1 0.000 0.000 0.500 x4
Tc1 0.250 0.250 0.750 x4
Pd1 0.250 0.250 0.250 x4

Computed properties:
Crystal system: cubic
Fermi-level density of states, states/eV/atom: 0.24
Energy of formation from the pure elements, eV/atom: -0.51
Total moment, μB per cell: 0.0
Volume, A^3/atom: 16.09